# 1
An optimized crystal structure of Zn2TcMo, computed with GGA-PBE.

Cell lengths 2.647, 2.647, 8.390 Å; angles 90.00, 90.00, 90.00 degrees
Element x y z (fractional)
Mo 0.500 0.500 0.250
Tc 0.500 0.500 0.750
Zn 0.000 0.000 0.997
Zn 0.000 0.000 0.503

Summary:
calculated density = 9.2 Mg/m³
distance to the lowest polymorph of the same formula = 0.151 eV per atom
calculated volume = 14.69 Å³ per atom
crystal system = tetragonal
ΔH_f (0 K) = 0.18 eV/atom
DOS(E_F) = 4.3 states/eV per cell

# 2
An optimized crystal structure of TbGd3H, computed with GGA-PBE.

Cell lengths 5.029, 5.029, 5.029 Å; angles 90.00, 90.00, 90.00 degrees
Element x y z (fractional)
H 0.000 0.000 0.000
Gd 0.000 0.500 0.000
Gd 0.000 0.000 0.500
Gd 0.500 0.000 0.000
Tb 0.500 0.500 0.500

Summary:
calculated density = 8.2 Mg/m³
calculated volume = 25.44 Å³ per atom
crystal system = cubic
DOS(E_F) = 5.2 states/eV per cell

no.,raw total energy (eV/atom)
1,-5.752
2,-10.205